# RhSBr3 | Alexandria | PBE | relaxed
data_RhSBr3
_chemical_formula_sum 'Rh1 S1 Br3'
_cell_length_a 5.065
_cell_length_b 5.065
_cell_length_c 5.065
_cell_angle_alpha 90.00
_cell_angle_beta 90.00
_cell_angle_gamma 90.00
_symmetry_space_group_name_H-M 'P m -3 m'
_symmetry_Int_Tables_number 221
_symmetry_space_group_name_Hall '-P 4 2 3'
loop_
_atom_site_label
_atom_site_fract_x
_atom_site_fract_y
_atom_site_fract_z
Rh1 0.000 0.000 0.000
S1 0.500 0.500 0.500
Br1 0.000 0.000 0.500
# **Size of the total moment**: 2.6 Bohr magnetons per cell
# **V**: 25.98 Å³/atom
# **Formation energy (no corrections)**: 2.43 eV per formula unit

=====

# RhSBr2 | Alexandria | PBE | relaxed
data_RhSBr2
_chemical_formula_sum 'Rh4 S4 Br8'
_cell_length_a 6.776
_cell_length_b 6.776
_cell_length_c 6.776
_cell_angle_alpha 90.00
_cell_angle_beta 90.00
_cell_angle_gamma 90.00
_symmetry_space_group_name_H-M 'F m -3 m'
_symmetry_Int_Tables_number 225
_symmetry_space_group_name_Hall '-F 4 2 3'
loop_
_atom_site_label
_atom_site_fract_x
_atom_site_fract_y
_atom_site_fract_z
Rh1 0.000 0.000 0.000
S1 0.000 0.000 0.500
Br1 0.250 0.250 0.250
# **Size of the total moment**: 0.6 Bohr magnetons per cell
# **V**: 19.44 Å³/atom
# **Formation energy (no corrections)**: 3.69 eV per formula unit

=====

# RhS2Br | Alexandria | PBE | relaxed
data_RhS2Br
_chemical_formula_sum 'Rh4 S8 Br4'
_cell_length_a 4.506
_cell_length_b 15.225
_cell_length_c 5.847
_cell_angle_alpha 90.00
_cell_angle_beta 105.55
_cell_angle_gamma 90.00
_symmetry_space_group_name_H-M 'C 1 2/c 1'
_symmetry_Int_Tables_number 15
_symmetry_space_group_name_Hall '-C 2yc'
loop_
_atom_site_label
_atom_site_fract_x
_atom_site_fract_y
_atom_site_fract_z
Rh1 0.000 0.196 0.250
S1 0.173 0.185 0.668
Br1 0.000 0.408 0.750
# **Size of the total moment**: 0.0 Bohr magnetons per cell
# **V**: 24.16 Å³/atom
# **Formation energy (no corrections)**: -1.16 eV per formula unit

=====

# RhSBr2 | Alexandria | PBE | relaxed
data_RhSBr2
_chemical_formula_sum 'Rh4 S4 Br8'
_cell_length_a 7.041
_cell_length_b 7.041
_cell_length_c 7.415
_cell_angle_alpha 90.00
_cell_angle_beta 90.00
_cell_angle_gamma 90.00
_symmetry_space_group_name_H-M 'I -4 2 d'
_symmetry_Int_Tables_number 122
_symmetry_space_group_name_Hall 'I -4 2bw'
loop_
_atom_site_label
_atom_site_fract_x
_atom_site_fract_y
_atom_site_fract_z
Rh1 0.000 0.000 0.000
S1 0.000 0.000 0.500
Br1 0.207 0.250 0.125
# **Size of the total moment**: 0.0 Bohr magnetons per cell
# **V**: 22.97 Å³/atom
# **Formation energy (no corrections)**: 2.45 eV per formula unit

=====

Number 1: polymorph energy (0 for the lowest one) 0.0 meV/atom. Number 2: polymorph energy (0 for the lowest one) 534.5 meV/atom. Number 3: polymorph energy (0 for the lowest one) 44.8 meV/atom. Number 4: polymorph energy (0 for the lowest one) 225.5 meV/atom.